[1]
Compound: BeFeRe2
Source: the Alexandria database
Functional: GGA-PBEsol
Structure: optimized geometry

Crystal system: orthorhombic
Energy: -9.82 eV/atom
D(E_F): 0.74 states/eV/atom

Geometry as POSCAR:
```
BeFeRe2
1.0
-1.508 2.048 3.927
1.508 -2.048 3.927
1.508 2.048 -3.927
Be Fe Re
1 1 2
Direct
0.000 0.000 0.000
0.500 0.500 0.000
0.245 0.745 0.500
0.755 0.255 0.500
```

=====

[2]
Compound: ZrAl3Ni2
Source: the Alexandria database
Functional: GGA-PBEsol
Structure: optimized geometry

Crystal system: hexagonal
Energy: -6.20 eV/atom
D(E_F): 0.43 states/eV/atom

Geometry as POSCAR:
```
ZrAl3Ni2
1.0
5.076 0.000 0.000
-2.538 4.396 0.000
0.000 0.000 3.885
Zr Al Ni
1 3 2
Direct
0.000 0.000 0.000
0.000 0.500 0.500
0.500 0.000 0.500
0.500 0.500 0.500
0.333 0.667 0.000
0.667 0.333 0.000
```

=====

[3]
Compound: ZnGa2Pb
Source: the Alexandria database
Functional: GGA-PBEsol
Structure: optimized geometry

Crystal system: cubic
Energy: -2.89 eV/atom
D(E_F): 0.42 states/eV/atom

Geometry as POSCAR:
```
ZnGa2Pb
1.0
0.000 3.467 3.467
3.467 0.000 3.467
3.467 3.467 0.000
Zn Ga Pb
1 2 1
Direct
0.000 0.000 0.000
0.250 0.250 0.250
0.750 0.750 0.750
0.500 0.500 0.500
```

=====

[4]
Compound: Sm4Cu5P7
Source: the Alexandria database
Functional: GGA-PBEsol
Structure: optimized geometry

Crystal system: tetragonal
Energy: -6.01 eV/atom
D(E_F): 0.15 states/eV/atom

Geometry as POSCAR:
```
Sm4Cu5P7
1.0
-2.634 2.634 9.732
2.634 -2.634 9.732
2.634 2.634 -9.732
Sm Cu P
4 5 7
Direct
0.125 0.640 0.000
0.360 0.360 0.485
0.640 0.125 0.000
0.875 0.875 0.515
0.249 0.249 0.000
0.250 0.750 0.500
0.500 0.500 0.000
0.750 0.250 0.500
0.751 0.751 0.000
0.000 0.000 0.000
0.000 0.500 0.500
0.079 0.079 0.508
0.429 0.921 0.000
0.500 0.000 0.500
0.571 0.571 0.492
0.921 0.429 0.000
```

=====

[5]
Compound: Ba2CaCuBi2F14
Source: the Alexandria database
Functional: GGA-PBEsol
Structure: optimized geometry

Crystal system: monoclinic
Formation energy without anion corrections: -59.107 eV per formula unit

Geometry as POSCAR:
```
Ba2CaCuBi2F14
1.0
6.993 -2.703 0.000
6.993 2.703 0.000
-0.349 0.000 16.447
Ba Ca Cu Bi F
4 2 2 4 28
Direct
0.099 0.278 0.382
0.278 0.099 0.882
0.722 0.901 0.118
0.901 0.722 0.618
0.457 0.543 0.250
0.543 0.457 0.750
0.500 0.500 0.000
0.500 0.500 0.500
0.070 0.130 0.121
0.130 0.070 0.621
0.870 0.930 0.379
0.930 0.870 0.879
0.101 0.828 0.170
0.127 0.571 0.303
0.127 0.581 0.469
0.130 0.639 0.761
0.136 0.718 0.014
0.141 0.370 0.113
0.172 0.899 0.330
0.282 0.864 0.486
0.361 0.598 0.611
0.361 0.870 0.739
0.370 0.141 0.613
0.402 0.639 0.889
0.419 0.873 0.031
0.429 0.873 0.197
0.571 0.127 0.803
0.581 0.127 0.969
0.598 0.361 0.111
0.630 0.859 0.387
0.639 0.130 0.261
0.639 0.402 0.389
0.718 0.136 0.514
0.828 0.101 0.670
0.859 0.630 0.887
0.864 0.282 0.986
0.870 0.361 0.239
0.873 0.419 0.531
0.873 0.429 0.697
0.899 0.172 0.830
```

=====

[6]
Compound: Ag2OsBr
Source: the Alexandria database
Functional: GGA-PBEsol
Structure: optimized geometry

Crystal system: orthorhombic
Formation energy without anion corrections: 2.896 eV per formula unit
D(E_F): 0.71 states/eV/atom

Geometry as POSCAR:
```
Ag2OsBr
1.0
1.427 -2.566 0.000
1.427 2.566 0.000
0.000 0.000 9.490
Ag Os Br
2 1 1
Direct
0.000 0.000 0.000
0.500 0.500 0.249
0.500 0.500 0.754
0.000 0.000 0.537
```

=====

[7]
Compound: Li10Mn3Cr2Ni3O16
Source: the Alexandria database
Functional: GGA-PBEsol
Structure: optimized geometry

Crystal system: monoclinic
Formation energy without anion corrections: -54.920 eV per formula unit
D(E_F): 0.22 states/eV/atom

Geometry as POSCAR:
```
Li10Mn3Cr2Ni3O16
1.0
5.018 -2.931 0.000
5.018 2.931 0.000
-0.094 0.000 9.575
Li Mn Cr Ni O
10 3 2 3 16
Direct
0.000 0.000 0.000
0.005 0.005 0.498
0.196 0.623 0.079
0.201 0.201 0.067
0.336 0.336 0.292
0.403 0.819 0.561
0.623 0.196 0.079
0.672 0.672 0.790
0.816 0.816 0.573
0.819 0.403 0.561
0.177 0.664 0.803
0.664 0.177 0.803
0.829 0.829 0.303
0.338 0.338 0.545
0.665 0.665 0.048
0.173 0.173 0.802
0.339 0.834 0.302
0.834 0.339 0.302
0.033 0.502 0.678
0.163 0.666 0.425
0.173 0.173 0.433
0.334 0.828 0.926
0.346 0.346 0.916
0.502 0.033 0.678
0.502 0.502 0.670
0.512 0.512 0.177
0.517 0.979 0.174
0.666 0.163 0.425
0.679 0.679 0.420
0.828 0.334 0.926
0.828 0.828 0.927
0.979 0.517 0.174
0.990 0.990 0.194
0.994 0.994 0.698
```

=====

[8]
Compound: MgCr2Ag
Source: the Alexandria database
Functional: GGA-PBEsol
Structure: optimized geometry

Crystal system: tetragonal
Energy: -5.83 eV/atom
D(E_F): 0.64 states/eV/atom

Geometry as POSCAR:
```
MgCr2Ag
1.0
3.526 0.000 0.000
0.000 3.526 0.000
0.000 0.000 4.459
Mg Cr Ag
1 2 1
Direct
0.000 0.000 0.000
0.000 0.500 0.500
0.500 0.000 0.500
0.500 0.500 0.000
```

=====

[9]
Compound: TiPdBr2
Source: the Alexandria database
Functional: GGA-PBEsol
Structure: optimized geometry

Crystal system: cubic
Formation energy without anion corrections: -0.674 eV per formula unit
D(E_F): 0.55 states/eV/atom

Geometry as POSCAR:
```
TiPdBr2
1.0
0.000 3.304 3.304
3.304 0.000 3.304
3.304 3.304 0.000
Ti Pd Br
1 1 2
Direct
0.000 0.000 0.000
0.500 0.500 0.500
0.250 0.250 0.250
0.750 0.750 0.750
```

=====

[10]
Compound: Sr2YCoCu2O7
Source: the Alexandria database
Functional: GGA-PBEsol
Structure: optimized geometry

Crystal system: orthorhombic
Formation energy without anion corrections: -25.335 eV per formula unit
D(E_F): 0.32 states/eV/atom

Geometry as POSCAR:
```
Sr2YCoCu2O7
1.0
-11.272 2.707 2.687
11.272 -2.707 2.687
11.272 2.707 -2.687
Sr Y Co Cu O
4 2 2 4 14
Direct
0.008 0.150 0.159
0.008 0.350 0.358
0.992 0.650 0.642
0.992 0.850 0.841
0.000 0.000 0.000
0.000 0.500 0.500
0.471 0.784 0.187
0.598 0.284 0.813
0.499 0.070 0.571
0.499 0.428 0.929
0.499 0.570 0.071
0.499 0.928 0.429
0.004 0.638 0.867
0.456 0.159 0.646
0.456 0.310 0.797
0.495 0.182 0.183
0.495 0.812 0.813
0.505 0.315 0.316
0.505 0.689 0.690
0.514 0.659 0.203
0.514 0.810 0.354
0.771 0.138 0.133
0.999 0.189 0.684
0.999 0.312 0.817
0.999 0.682 0.187
0.999 0.815 0.310
```

=====

Please write out number 7 again, unchanged.
Compound: Li10Mn3Cr2Ni3O16
Source: the Alexandria database
Functional: GGA-PBEsol
Structure: optimized geometry

Crystal system: monoclinic
Formation energy without anion corrections: -54.920 eV per formula unit
D(E_F): 0.22 states/eV/atom

Geometry as POSCAR:
```
Li10Mn3Cr2Ni3O16
1.0
5.018 -2.931 0.000
5.018 2.931 0.000
-0.094 0.000 9.575
Li Mn Cr Ni O
10 3 2 3 16
Direct
0.000 0.000 0.000
0.005 0.005 0.498
0.196 0.623 0.079
0.201 0.201 0.067
0.336 0.336 0.292
0.403 0.819 0.561
0.623 0.196 0.079
0.672 0.672 0.790
0.816 0.816 0.573
0.819 0.403 0.561
0.177 0.664 0.803
0.664 0.177 0.803
0.829 0.829 0.303
0.338 0.338 0.545
0.665 0.665 0.048
0.173 0.173 0.802
0.339 0.834 0.302
0.834 0.339 0.302
0.033 0.502 0.678
0.163 0.666 0.425
0.173 0.173 0.433
0.334 0.828 0.926
0.346 0.346 0.916
0.502 0.033 0.678
0.502 0.502 0.670
0.512 0.512 0.177
0.517 0.979 0.174
0.666 0.163 0.425
0.679 0.679 0.420
0.828 0.334 0.926
0.828 0.828 0.927
0.979 0.517 0.174
0.990 0.990 0.194
0.994 0.994 0.698
```